# 1
6
Lattice="5.827 -1.856 0.000 5.827 1.856 0.000 -1.420 0.000 6.242" Properties=species:S:1:pos:R:3 comment="TbRhCl, relaxed, DFT PBE" raw_formation_energy_mev_per_atom=-1042 space_group=C2/m e_tot_ry_per_atom=-0.415 total_magnetization_mub_per_fu=0.0 pbc="T T T"
Tb 1.452 0.000 1.050
Tb 8.782 0.000 5.192
Rh 4.813 0.000 0.891
Rh 5.421 0.000 5.351
Cl 3.531 0.000 2.957
Cl 6.702 0.000 3.285

# 2
4
Lattice="3.364 0.000 0.000 0.000 3.364 0.000 0.000 0.000 8.015" Properties=species:S:1:pos:R:3 comment="Tb2RhCl, relaxed, DFT PBE" raw_formation_energy_mev_per_atom=-1025 space_group=P4/mmm e_tot_ry_per_atom=-0.415 e_above_lowest_polymorph_mev_per_atom=211 total_magnetization_mub_per_fu=0.0 pbc="T T T"
Tb 0.000 0.000 1.716
Tb 0.000 0.000 6.299
Rh 1.682 1.682 0.000
Cl 1.682 1.682 4.007

# 3
8
Lattice="3.159 1.824 5.742 -3.159 1.824 5.742 0.000 -3.647 5.742" Properties=species:S:1:pos:R:3 comment="TbRhCl6, relaxed, DFT PBE" raw_formation_energy_mev_per_atom=-1334 space_group=R-3 e_tot_ry_per_atom=-0.310 total_magnetization_mub_per_fu=0.0 pbc="T T T"
Tb 0.000 0.000 0.000
Rh 0.000 0.000 8.613
Cl -1.944 -0.032 7.253
Cl -0.944 -1.700 9.973
Cl 1.000 -1.668 7.253
Cl -1.000 1.668 9.973
Cl 0.944 1.700 7.253
Cl 1.944 0.032 9.973

# 4
4
Lattice="1.981 1.144 7.565 -1.981 1.144 7.565 0.000 -2.288 7.565" Properties=species:S:1:pos:R:3 comment="Tb2RhCl, relaxed, DFT PBE" raw_formation_energy_mev_per_atom=-1168 space_group=R3m e_tot_ry_per_atom=-0.425 e_above_lowest_polymorph_mev_per_atom=68 total_magnetization_mub_per_fu=0.0 pbc="T T T"
Tb 0.000 0.000 0.000
Tb 0.000 0.000 4.559
Rh 0.000 0.000 13.612
Cl 0.000 0.000 9.698

# 5
14
Lattice="3.409 1.968 10.385 -3.409 1.968 10.385 0.000 -3.936 10.385" Properties=species:S:1:pos:R:3 comment="Tb3RhCl3, relaxed, DFT PBE" raw_formation_energy_mev_per_atom=-1522 space_group=R-3 e_tot_ry_per_atom=-0.393 total_magnetization_mub_per_fu=0.0 pbc="T T T"
Tb -1.243 -2.152 13.899
Tb -2.485 0.000 17.255
Tb -1.243 2.152 13.899
Tb 1.243 -2.152 17.255
Tb 2.485 0.000 13.899
Tb 1.243 2.152 17.255
Rh 0.000 0.000 5.192
Rh 0.000 0.000 25.961
Cl -2.140 0.001 12.209
Cl -1.071 -1.852 18.945
Cl 1.069 -1.854 12.209
Cl -1.069 1.854 18.945
Cl 1.071 1.852 12.209
Cl 2.140 -0.001 18.945

# 6
12
Lattice="8.487 0.000 0.000 0.000 4.138 0.000 -0.988 0.000 9.733" Properties=species:S:1:pos:R:3 comment="Tb3TeRhCl, relaxed, DFT PBE" raw_formation_energy_mev_per_atom=-1138 space_group=P2_1/m e_tot_ry_per_atom=-0.405 total_magnetization_mub_per_fu=0.0 pbc="T T T"
Tb 0.772 1.035 3.145
Tb 0.383 1.035 8.769
Tb 1.970 3.104 6.038
Tb 5.528 1.035 3.695
Tb 7.116 3.104 0.964
Tb 6.726 3.104 6.588
Te 3.146 3.104 3.098
Te 4.353 1.035 6.635
Rh 0.009 1.035 5.963
Rh 7.490 3.104 3.771
Cl 2.114 3.104 8.921
Cl 5.385 1.035 0.812

# 7
4
Lattice="2.845 0.000 0.000 0.000 2.845 0.000 0.000 0.000 7.461" Properties=species:S:1:pos:R:3 comment="Tc2RhCl, relaxed, DFT PBE" raw_formation_energy_mev_per_atom=242 space_group=P4mm e_tot_ry_per_atom=-0.532 e_above_lowest_polymorph_mev_per_atom=49 total_magnetization_mub_per_fu=0.0 pbc="T T T"
Tc 0.000 0.000 0.000
Tc 1.422 1.422 1.726
Rh 1.422 1.422 5.618
Cl 0.000 0.000 3.494

# 8
4
Lattice="2.550 -4.373 0.000 2.550 4.373 0.000 -1.075 0.000 2.695" Properties=species:S:1:pos:R:3 comment="Tc2RhCl, relaxed, DFT PBE" raw_formation_energy_mev_per_atom=807 space_group=C2/m e_tot_ry_per_atom=-0.491 e_above_lowest_polymorph_mev_per_atom=614 total_magnetization_mub_per_fu=0.0 pbc="T T T"
Tc 1.275 2.187 0.000
Tc 1.275 -2.187 0.000
Rh -0.537 0.000 1.347
Cl 2.013 0.000 1.347

# 9
4
Lattice="3.042 0.000 0.000 0.000 4.124 0.000 -0.364 0.000 5.153" Properties=species:S:1:pos:R:3 comment="TcRhCl2, relaxed, DFT PBE" raw_formation_energy_mev_per_atom=532 space_group=P2/m e_tot_ry_per_atom=-0.354 e_above_lowest_polymorph_mev_per_atom=615 total_magnetization_mub_per_fu=1.1 pbc="T T T"
Tc 0.000 0.000 0.000
Rh 1.339 0.000 2.577
Cl 0.603 2.062 1.264
Cl 2.076 2.062 3.889

# 10
4
Lattice="4.542 0.000 0.000 0.000 4.542 0.000 0.000 0.000 2.820" Properties=species:S:1:pos:R:3 comment="Tc2RhCl, relaxed, DFT PBE" raw_formation_energy_mev_per_atom=681 space_group=P4/mmm e_tot_ry_per_atom=-0.500 e_above_lowest_polymorph_mev_per_atom=488 total_magnetization_mub_per_fu=0.0 pbc="T T T"
Tc 0.000 2.271 0.000
Tc 2.271 0.000 0.000
Rh 0.000 0.000 1.410
Cl 2.271 2.271 1.410

# 11
4
Lattice="4.825 -1.414 0.000 4.825 1.414 0.000 -0.035 0.000 4.420" Properties=species:S:1:pos:R:3 comment="Tc2RhCl, relaxed, DFT PBE" raw_formation_energy_mev_per_atom=485 space_group=Cm e_tot_ry_per_atom=-0.514 e_above_lowest_polymorph_mev_per_atom=292 total_magnetization_mub_per_fu=0.0 pbc="T T T"
Tc 0.000 0.000 0.000
Tc 6.771 0.000 1.120
Rh 2.538 0.000 3.446
Cl 4.710 0.000 2.397

# 12
5
Lattice="4.878 0.000 0.000 0.000 4.878 0.000 0.000 0.000 4.878" Properties=species:S:1:pos:R:3 comment="TcRhCl3, relaxed, DFT PBE" raw_formation_energy_mev_per_atom=539 space_group=Pm-3m e_tot_ry_per_atom=-0.302 e_above_lowest_polymorph_mev_per_atom=42 total_magnetization_mub_per_fu=4.7 pbc="T T T"
Tc 0.000 0.000 0.000
Rh 2.439 2.439 2.439
Cl 0.000 0.000 2.439
Cl 0.000 2.439 0.000
Cl 2.439 0.000 0.000